VASP calculation (GGA-PBE) on an optimized crystal structure of NaBeCr2.

Properties
energy: -38.8 eV/cell
density of states at the Fermi level: 0.913 states/eV/atom
SG: I-42d

Cell lengths 9.589, 9.589, 9.589 Å; angles 159.11, 159.11, 29.71 degrees
Fractional coordinates of all 8 atoms:
Na: 0.000 0.000 0.000
Na: 0.750 0.250 0.500
Be: 0.250 0.750 0.500
Be: 0.500 0.500 0.000
Cr: 0.181 0.125 0.556
Cr: 0.375 0.819 0.944
Cr: 0.569 0.625 0.444
Cr: 0.875 0.431 0.056